VASP calculation (meta-GGA SCAN) on MoAs2I at its PBEsol-relaxed geometry.

Cell: 6.554 6.554 10.874 Å, 90.00 90.00 90.00°
Space group I-42d (No. 122)
One atom of each set of equivalent atoms:
Mo1 0.000 0.000 0.000 [4 per cell]
As1 0.157 0.750 0.125 [8 per cell]
I1 0.000 0.000 0.500 [4 per cell]

VASP energy = -27.478 eV/atom
calculated density = 5.3 g/cm3
formation energy (no corrections) = 524 meV/atom